# Y2CuNi2

A geometry-optimized Y2CuNi2 structure (PBE-GGA, Alexandria).

Structure (extended XYZ):
```
5
Lattice="-2.600 2.600 3.642 2.600 -2.600 3.642 2.600 2.600 -3.642" Properties=species:S:1:pos:R:3 pbc="T T T"
Y 2.600 0.000 1.821
Y 0.000 2.600 1.821
Cu 0.000 0.000 0.000
Ni 0.000 0.000 2.488
Ni 0.000 0.000 4.796
```

Output
formation energy: -16.3 kJ/mol of atoms
magnetic moment: 0.00 μB/f.u.